[1]
Here is a geometry-optimized Nd2MgAl3Pt4 structure from Alexandria. Energies are from PBE-GGA.

Unit cell a=4.3281 b=4.3281 c=10.5063 alpha=90.00 beta=90.00 gamma=90.00
Last column: nearest neighbours and their distance in Å.
Space group P-4m2 (No. 115)
Symmetry-distinct sites (fractional):
Nd: 0.0000 0.5000 0.2424 [2 per cell]  8 Pt 3.30-3.34, 6 Al 3.31-3.47, 2 Mg 3.47
Mg: 0.0000 0.0000 0.5000 [1 per cell]  4 Pt 2.62
Al: 0.0000 0.5000 0.8775 [2 per cell]  5 Pt 2.49-2.52
Al: 0.5000 0.5000 0.5000 [1 per cell]  4 Pt 2.62
Pt: 0.0000 0.0000 0.0000 [1 per cell]  4 Al 2.52
Pt: 0.0000 0.5000 0.6406 [2 per cell]  3 Al 2.49-2.62, 2 Mg 2.62
Pt: 0.5000 0.5000 0.0000 [1 per cell]  4 Al 2.52

Properties
Its total magnetization is 0.0 μB/f.u. As for the crystal system: tetragonal. As for the formation energy: -1.05 eV per atom. The volume is 196.8 Å³/f.u.

=====

[2]
Here is a geometry-optimized CuMo2Ru structure from Alexandria. Energies are from PBE-GGA.

Unit cell a=3.8476 b=3.8476 c=3.8888 alpha=90.00 beta=90.00 gamma=90.00
Last column: nearest neighbours and their distance in Å.
Space group P4/mmm (No. 123)
Symmetry-distinct sites (fractional):
Cu: 0.0000 0.0000 0.0000 [1 per cell]  4 Ru 2.72, 8 Mo 2.74
Mo: 0.0000 0.5000 0.5000 [2 per cell]  4 Mo 2.72, 4 Ru 2.74, 4 Cu 2.74
Ru: 0.5000 0.5000 0.0000 [1 per cell]  4 Cu 2.72, 8 Mo 2.74

Properties
The polymorph energy (0 for the lowest one) comes out at 0.027 eV/atom. Its total magnetization is 0.0 μB/f.u. As for the crystal system: tetragonal. As for the formation energy: 0.14 eV per atom. The volume is 57.6 Å³/f.u.

=====

[3]
Here is a geometry-optimized Pr2TmTh structure from Alexandria. Energies are from PBE-GGA.

Unit cell a=5.1088 b=5.1088 c=5.1345 alpha=90.00 beta=90.00 gamma=90.00
Last column: nearest neighbours and their distance in Å.
Space group P4/mmm (No. 123)
Symmetry-distinct sites (fractional):
Pr: 0.0000 0.5000 0.0000 [2 per cell]  4 Pr 3.61, 4 Th 3.62, 4 Tm 3.62
Tm: 0.0000 0.0000 0.5000 [1 per cell]  4 Th 3.61, 8 Pr 3.62
Th: 0.5000 0.5000 0.5000 [1 per cell]  4 Tm 3.61, 8 Pr 3.62

Properties
The polymorph energy (0 for the lowest one) comes out at 0.023 eV/atom. Its total magnetization is 0.0 μB/f.u. As for the crystal system: tetragonal. As for the formation energy: 0.06 eV per atom. The volume is 134.0 Å³/f.u.

=====

[4]
Here is a geometry-optimized FeNi2Ru structure from Alexandria. Energies are from PBE-GGA.

Unit cell a=8.4812 b=2.5329 c=4.5197 alpha=90.00 beta=98.96 gamma=90.00
Last column: nearest neighbours and their distance in Å.
Space group Cm (No. 8)
Symmetry-distinct sites (fractional):
Fe: 0.0000 0.0000 0.0000 [2 per cell]  2 Fe 2.53, 7 Ni 2.54-2.64, 3 Ru 2.58-2.63
Ni: 0.2472 0.5000 0.2361 [2 per cell]  5 Ni 2.53-2.57, 3 Fe 2.54, 4 Ru 2.57-2.61
Ni: 0.4973 0.0000 0.4855 [2 per cell]  5 Ni 2.53-2.57, 4 Fe 2.54-2.64, 3 Ru 2.55-2.56
Ru: 0.2464 0.0000 0.7308 [2 per cell]  2 Ru 2.53, 7 Ni 2.55-2.61, 3 Fe 2.58-2.63

Properties
Its total magnetization is 3.7 μB/f.u. As for the crystal system: monoclinic. As for the formation energy: 0.08 eV per atom. The volume is 48.0 Å³/f.u.

=====

[5]
Here is a geometry-optimized Pm3C2Br structure from Alexandria. Energies are from PBE-GGA.

Unit cell a=6.7239 b=11.7389 c=7.1686 alpha=90.00 beta=90.00 gamma=90.00
Last column: nearest neighbours and their distance in Å.
Space group Imma (No. 74)
Symmetry-distinct sites (fractional):
Pm: 0.2449 0.0000 0.0000 [8 per cell]  2 C 2.49
Pm: 0.2500 0.2500 0.2500 [4 per cell]  4 C 2.62
C: 0.0000 0.0807 0.2865 [8 per cell]  4 Pm 2.49-2.62
Br: 0.0000 0.2500 0.8702 [4 per cell]  6 Pm 3.20-3.49

Properties
Its total magnetization is 0.0 μB/f.u. The energy relative to the elements, uncorrected comes out at -0.89 eV/f.u. As for the crystal system: orthorhombic. The volume is 141.5 Å³/f.u.

=====

[6]
Here is a geometry-optimized YMg2AlNi structure from Alexandria. Energies are from PBE-GGA.

Unit cell a=4.7575 b=4.7575 c=4.5966 alpha=90.00 beta=90.00 gamma=90.00
Last column: nearest neighbours and their distance in Å.
Space group P4/mmm (No. 123)
Symmetry-distinct sites (fractional):
Y: 0.0000 0.0000 0.0000 [1 per cell]  8 Mg 3.31, 4 Al 3.36
Mg: 0.0000 0.5000 0.5000 [2 per cell]  2 Ni 2.38
Al: 0.5000 0.5000 0.0000 [1 per cell]  2 Ni 2.30
Ni: 0.5000 0.5000 0.5000 [1 per cell]  2 Al 2.30, 4 Mg 2.38

Properties
Its total magnetization is 0.0 μB/f.u. As for the crystal system: tetragonal. As for the formation energy: -0.18 eV per atom. The volume is 104.0 Å³/f.u.

=====

[7]
Here is a geometry-optimized Ti2NO structure from Alexandria. Energies are from PBE-GGA.

Unit cell a=3.0863 b=3.0863 c=17.8506 alpha=90.00 beta=90.00 gamma=120.00
Last column: nearest neighbours and their distance in Å.
Space group R-3m (No. 166, hexagonal axes)
Symmetry-distinct sites (fractional):
Ti: 0.0000 0.0000 0.1025 [6 per cell]  1 O 1.83
N: 0.0000 0.0000 0.5000 [3 per cell]  6 Ti 2.12
O: 0.0000 0.0000 0.0000 [3 per cell]  2 Ti 1.83

Properties
The polymorph energy (0 for the lowest one) comes out at 0.290 eV/atom. Its total magnetization is 0.0 μB/f.u. The energy relative to the elements, uncorrected comes out at -7.07 eV/f.u. As for the crystal system: trigonal. The volume is 49.1 Å³/f.u.

=====

[8]
Here is a geometry-optimized MgBeMoHW structure from Alexandria. Energies are from PBE-GGA.

Unit cell a=3.3611 b=4.7028 c=4.7540 alpha=116.18 beta=110.49 gamma=90.33
Last column: nearest neighbours and their distance in Å.
Space group P1 (No. 1)
Symmetry-distinct sites (fractional):
Mg: 0.0000 0.0000 0.0000 [1 per cell]  2 H 2.43-2.47, 3 Be 2.56-2.58
Be: 0.2632 0.9128 0.5263 [1 per cell]  1 H 2.11
Mo: 0.7949 0.3214 0.5833 [1 per cell]  2 H 1.98-1.99
H: 0.3649 0.5782 0.7169 [1 per cell]  1 W 1.91, 2 Mo 1.98-1.99, 1 Be 2.11
W: 0.5666 0.5542 0.1328 [1 per cell]  1 H 1.91

Properties
The polymorph energy (0 for the lowest one) comes out at 0.131 eV/atom. Its total magnetization is 0.0 μB/f.u. As for the crystal system: triclinic. The volume is 62.0 Å³/f.u.

=====

[9]
Here is a geometry-optimized LiLa2Sm structure from Alexandria. Energies are from PBE-GGA.

Unit cell a=3.7112 b=3.7112 c=9.4290 alpha=90.00 beta=90.00 gamma=90.00
Last column: nearest neighbours and their distance in Å.
Space group P4/mmm (No. 123)
Symmetry-distinct sites (fractional):
Li: 0.0000 0.0000 0.0000 [1 per cell]  8 La 3.41, 4 Li 3.71
La: 0.5000 0.5000 0.2311 [2 per cell]  4 Li 3.41, 4 Sm 3.65, 4 La 3.71
Sm: 0.0000 0.0000 0.5000 [1 per cell]  8 La 3.65, 4 Sm 3.71

Properties
The polymorph energy (0 for the lowest one) comes out at 0.000 eV/atom. Its total magnetization is 0.0 μB/f.u. As for the crystal system: tetragonal. As for the formation energy: 0.06 eV per atom. The volume is 129.9 Å³/f.u.

=====

[10]
Here is a geometry-optimized Li3Mg4Pd structure from Alexandria. Energies are from PBE-GGA.

Unit cell a=4.5994 b=4.5994 c=7.0416 alpha=90.00 beta=90.00 gamma=90.00
Last column: nearest neighbours and their distance in Å.
Space group P4/mmm (No. 123)
Symmetry-distinct sites (fractional):
Li: 0.0000 0.0000 0.0000 [1 per cell]  8 Mg 2.99, 4 Li 3.25
Li: 0.0000 0.0000 0.5000 [1 per cell]  8 Mg 2.81
Li: 0.5000 0.5000 0.0000 [1 per cell]  8 Mg 2.99, 4 Li 3.25
Mg: 0.0000 0.5000 0.2705 [4 per cell]  6 Li 2.81-2.99, 2 Pd 2.81
Pd: 0.5000 0.5000 0.5000 [1 per cell]  8 Mg 2.81

Properties
Its total magnetization is 0.0 μB/f.u. As for the crystal system: tetragonal. As for the formation energy: -0.25 eV per atom. The volume is 149.0 Å³/f.u.

=====

[11]
Here is a geometry-optimized SrYBe3 structure from Alexandria. Energies are from PBE-GGA.

Unit cell a=4.9155 b=4.9155 c=4.9155 alpha=90.00 beta=90.00 gamma=90.00
Last column: nearest neighbours and their distance in Å.
Space group Pm-3m (No. 221)
Symmetry-distinct sites (fractional):
Sr: 0.0000 0.0000 0.0000 [1 per cell]  6 Be 2.46
Y: 0.5000 0.5000 0.5000 [1 per cell]  12 Be 3.48
Be: 0.0000 0.0000 0.5000 [3 per cell]  2 Sr 2.46

Properties
The polymorph energy (0 for the lowest one) comes out at 0.382 eV/atom. Its total magnetization is 0.0 μB/f.u. As for the crystal system: cubic. As for the formation energy: 1.57 eV per atom. The volume is 118.8 Å³/f.u.

=====

[12]
Here is a geometry-optimized ErZr2Zn2 structure from Alexandria. Energies are from PBE-GGA.

Unit cell a=3.3620 b=4.8901 c=12.7829 alpha=90.00 beta=97.58 gamma=90.00
Last column: nearest neighbours and their distance in Å.
Space group P2_1/m (No. 11)
Symmetry-distinct sites (fractional):
Er: 0.1468 0.2500 0.2941 [2 per cell]  6 Zn 2.98-3.01, 2 Zr 3.29
Zr: 0.0443 0.7500 0.0903 [2 per cell]  8 Zn 2.85-2.97
Zr: 0.2338 0.7500 0.4677 [2 per cell]  2 Zn 2.99, 4 Zr 3.08, 2 Er 3.29
Zn: 0.3640 0.2500 0.7277 [2 per cell]  4 Zr 2.85-2.99, 4 Er 2.98
Zn: 0.4509 0.7500 0.9028 [2 per cell]  6 Zr 2.91-2.97, 2 Er 3.01

Properties
Its total magnetization is 0.0 μB/f.u. As for the crystal system: monoclinic. As for the formation energy: -0.22 eV per atom. The volume is 104.2 Å³/f.u.

=====

[13]
Here is a geometry-optimized NaGe3Bi structure from Alexandria. Energies are from PBE-GGA.

Unit cell a=5.1052 b=5.1052 c=5.1052 alpha=90.00 beta=90.00 gamma=90.00
Last column: nearest neighbours and their distance in Å.
Space group Pm-3m (No. 221)
Symmetry-distinct sites (fractional):
Na: 0.0000 0.0000 0.0000 [1 per cell]  6 Ge 2.55
Ge: 0.0000 0.0000 0.5000 [3 per cell]  2 Na 2.55
Bi: 0.5000 0.5000 0.5000 [1 per cell]  12 Ge 3.61

Properties
The polymorph energy (0 for the lowest one) comes out at 0.062 eV/atom. Its total magnetization is 0.0 μB/f.u. As for the crystal system: cubic. As for the formation energy: 0.85 eV per atom. The volume is 133.1 Å³/f.u.

=====

[14]
Here is a geometry-optimized Na3RhI structure from Alexandria. Energies are from PBE-GGA.

Unit cell a=5.7411 b=5.7411 c=5.7411 alpha=90.00 beta=90.00 gamma=90.00
Last column: nearest neighbours and their distance in Å.
Space group Pm-3m (No. 221)
Symmetry-distinct sites (fractional):
Na: 0.0000 0.0000 0.5000 [3 per cell]  2 I 2.87
Rh: 0.5000 0.5000 0.5000 [1 per cell]  12 Na 4.06
I: 0.0000 0.0000 0.0000 [1 per cell]  6 Na 2.87

Properties
The polymorph energy (0 for the lowest one) comes out at 0.258 eV/atom. Its total magnetization is 0.2 μB/f.u. The energy relative to the elements, uncorrected comes out at 1.97 eV/f.u. As for the crystal system: cubic. The volume is 189.2 Å³/f.u.

=====

[15]
Here is a geometry-optimized Ca2SnHPt structure from Alexandria. Energies are from PBE-GGA.

Unit cell a=5.3401 b=5.3401 c=3.5890 alpha=90.00 beta=90.00 gamma=90.00
Last column: nearest neighbours and their distance in Å.
Space group P4/mmm (No. 123)
Symmetry-distinct sites (fractional):
Ca: 0.0000 0.5000 0.0000 [2 per cell]  2 H 2.67
Sn: 0.0000 0.0000 0.5000 [1 per cell]  8 Ca 3.22, 2 Sn 3.59
H: 0.5000 0.5000 0.0000 [1 per cell]  2 Pt 1.79
Pt: 0.5000 0.5000 0.5000 [1 per cell]  2 H 1.79

Properties
Its total magnetization is 0.0 μB/f.u. As for the crystal system: tetragonal. As for the raw total energy: -20.7 eV for the cell shown. The volume is 102.3 Å³/f.u.

=====

[16]
Here is a geometry-optimized TiBi3Pb structure from Alexandria. Energies are from PBE-GGA.

Unit cell a=5.4662 b=5.4662 c=5.4662 alpha=90.00 beta=90.00 gamma=90.00
Last column: nearest neighbours and their distance in Å.
Space group Pm-3m (No. 221)
Symmetry-distinct sites (fractional):
Ti: 0.0000 0.0000 0.0000 [1 per cell]  6 Bi 2.73
Bi: 0.0000 0.0000 0.5000 [3 per cell]  2 Ti 2.73
Pb: 0.5000 0.5000 0.5000 [1 per cell]  12 Bi 3.87

Properties
The polymorph energy (0 for the lowest one) comes out at 0.000 eV/atom. Its total magnetization is 0.0 μB/f.u. As for the crystal system: cubic. As for the formation energy: 0.20 eV per atom. The volume is 163.3 Å³/f.u.

=====

[17]
Here is a geometry-optimized TmHf2Zr structure from Alexandria. Energies are from PBE-GGA.

Unit cell a=3.2331 b=3.2331 c=31.9269 alpha=90.00 beta=90.00 gamma=120.00
Last column: nearest neighbours and their distance in Å.
Space group R-3m (No. 166, hexagonal axes)
Symmetry-distinct sites (fractional):
Tm: 0.0000 0.0000 0.0000 [3 per cell]  6 Tm 3.23, 6 Hf 3.35
Hf: 0.0000 0.0000 0.2463 [6 per cell]  3 Zr 3.15, 6 Hf 3.23, 3 Tm 3.35
Zr: 0.0000 0.0000 0.5000 [3 per cell]  6 Hf 3.15, 6 Zr 3.23

Properties
The polymorph energy (0 for the lowest one) comes out at 0.023 eV/atom. Its total magnetization is 0.0 μB/f.u. As for the crystal system: trigonal. As for the formation energy: 0.12 eV per atom. The volume is 96.3 Å³/f.u.

=====

[18]
Here is a geometry-optimized Mg2Ga3Os structure from Alexandria. Energies are from PBE-GGA.

Unit cell a=5.3026 b=5.3026 c=12.4865 alpha=90.00 beta=90.00 gamma=120.00
Last column: nearest neighbours and their distance in Å.
Space group R-3m (No. 166, hexagonal axes)
Symmetry-distinct sites (fractional):
Mg: 0.0000 0.0000 0.1302 [6 per cell]  9 Ga 2.96-3.11, 3 Os 3.10, 4 Mg 3.19-3.25
Ga: 0.0000 0.5000 0.0000 [9 per cell]  2 Os 2.58, 4 Ga 2.65
Os: 0.0000 0.0000 0.5000 [3 per cell]  6 Ga 2.58

Properties
Its total magnetization is 0.0 μB/f.u. As for the crystal system: trigonal. As for the formation energy: -0.18 eV per atom. The volume is 101.4 Å³/f.u.

=====

[19]
Here is a geometry-optimized Sc4Os structure from Alexandria. Energies are from PBE-GGA.

Unit cell a=13.6741 b=13.1349 c=9.7490 alpha=90.00 beta=131.51 gamma=90.00
Last column: nearest neighbours and their distance in Å.
Space group C2/c (No. 15)
Symmetry-distinct sites (fractional):
Sc: 0.0000 0.1239 0.2500 [4 per cell]  2 Os 2.65
Sc: 0.0237 0.3238 0.1026 [8 per cell]  5 Sc 2.96-3.12, 2 Os 3.23-3.29
Sc: 0.0482 0.1024 0.9593 [8 per cell]  3 Os 2.75-2.93
Sc: 0.0940 0.4500 0.7257 [8 per cell]  2 Os 2.71-2.77, 4 Sc 2.90-3.00
Sc: 0.2198 0.2271 0.8167 [8 per cell]  2 Os 2.70-2.74
Sc: 0.2439 0.4788 0.6115 [8 per cell]  2 Os 2.64-2.83, 1 Sc 2.94
Sc: 0.2500 0.2500 0.5000 [4 per cell]  2 Os 2.82, 4 Sc 3.05-3.10
Os: 0.0000 0.2759 0.7500 [4 per cell]  6 Sc 2.70-2.83
Os: 0.1899 0.0752 0.5992 [8 per cell]  8 Sc 2.64-2.93

Properties
The polymorph energy (0 for the lowest one) comes out at 0.000 eV/atom. Its total magnetization is 0.0 μB/f.u. As for the crystal system: monoclinic. As for the formation energy: -0.17 eV per atom. The volume is 109.3 Å³/f.u.

=====

[20]
Here is a geometry-optimized CaPr12Ni6 structure from Alexandria. Energies are from PBE-GGA.

Unit cell a=10.3078 b=10.3078 c=10.3078 alpha=90.00 beta=90.00 gamma=90.00
Last column: nearest neighbours and their distance in Å.
Space group Im-3 (No. 204)
Symmetry-distinct sites (fractional):
Ca: 0.0000 0.0000 0.0000 [2 per cell]  12 Pr 3.78
Pr: 0.0000 0.3150 0.1875 [24 per cell]  3 Ni 2.76-2.98
Ni: 0.0000 0.1188 0.5000 [12 per cell]  1 Ni 2.45

Properties
Its total magnetization is 0.0 μB/f.u. As for the crystal system: cubic. As for the formation energy: -0.17 eV per atom. The volume is 547.6 Å³/f.u.